Record 1
Here is an optimized crystal structure of CePr10Tm4 from the Alexandria database. Energies are from PBE.

## Properties
* energy of formation: 4.8 eV/f.u.
* magnetization: 2.42 μB/cell
* N(E_F): 24.929 states/eV/f.u.

abc: 9.8985 9.8985 10.7652
angles: 90.00 90.00 90.00
Last column: nearest neighbours and their distance in Å.
Space group I4/m (No. 87)
Symmetry-distinct sites (fractional):
Ce (0.0000, 0.0000, 0.0000) x2  4 Tm 3.36
Pr (0.0000, 0.5000, 0.2500) x4  4 Tm 3.21, 4 Pr 3.21
Pr (0.1161, 0.2148, 0.3446) x16  5 Pr 3.21-3.42
Tm (0.0614, 0.3342, 0.0000) x8  2 Pr 3.21, 1 Ce 3.36, 1 Tm 3.50

=====

Record 2
Here is an optimized crystal structure of CePr2Tm5 from the Alexandria database. Energies are from PBE.

## Properties
* energy of formation: 0.4 eV/f.u.
* magnetization: 1.87 μB/cell
* N(E_F): 12.921 states/eV/f.u.

abc: 5.0539 5.0539 19.7950
angles: 90.00 90.00 90.00
Last column: nearest neighbours and their distance in Å.
Space group I4/mmm (No. 139)
Symmetry-distinct sites (fractional):
Ce (0.0000, 0.0000, 0.0000) x2  12 Tm 3.48-3.57
Pr (0.0000, 0.0000, 0.2478) x4  8 Tm 3.56-3.62, 4 Pr 3.57
Tm (0.0000, 0.0000, 0.5000) x2  8 Tm 3.48, 4 Ce 3.57
Tm (0.0000, 0.5000, 0.1211) x8  2 Ce 3.48, 6 Tm 3.48-3.57, 4 Pr 3.56-3.62

=====

Record 3
Here is an optimized crystal structure of CePrTm from the Alexandria database. Energies are from PBE.

## Properties
* energy of formation: 0.2 eV/f.u.
* magnetization: 1.00 μB/cell
* N(E_F): 6.256 states/eV/f.u.

abc: 3.5316 6.1114 8.7676
angles: 89.71 89.99 89.98
Last column: nearest neighbours and their distance in Å.
Space group P-1 (No. 2)
Symmetry-distinct sites (fractional):
Ce (0.2489, 0.2407, 0.4966) x2  6 Ce 3.43-3.63, 3 Pr 3.49-3.52, 3 Tm 3.51-3.53
Pr (0.2510, 0.5849, 0.1781) x2  3 Ce 3.49-3.52, 5 Tm 3.52-3.65, 4 Pr 3.53-3.74
Tm (0.2494, 0.9166, 0.8312) x2  3 Ce 3.51-3.53, 5 Pr 3.52-3.65, 4 Tm 3.53-3.60

=====

Record 4
Here is an optimized crystal structure of CePr4Tm6 from the Alexandria database. Energies are from PBE.

## Properties
* energy of formation: 3.4 eV/f.u.
* magnetization: 0.69 μB/cell
* N(E_F): 15.326 states/eV/f.u.

abc: 6.6716 6.6716 16.7996
angles: 90.00 90.00 90.00
Last column: nearest neighbours and their distance in Å.
Space group I-42m (No. 121)
Symmetry-distinct sites (fractional):
Ce (0.0000, 0.0000, 0.0000) x2  8 Tm 3.34-3.64, 4 Pr 3.44
Pr (0.1911, 0.1911, 0.8259) x8  7 Tm 3.42-3.80, 1 Ce 3.44, 1 Pr 3.61
Tm (0.0000, 0.5000, 0.0000) x4  4 Tm 3.19, 2 Ce 3.34
Tm (0.1810, 0.1810, 0.6222) x8  3 Tm 3.19-3.42, 3 Pr 3.42-3.49

=====

Which formula does entry 1 have? CePr10Tm4